# 1
First-principles (GGA-PBE) data for TcHgW2 after structural relaxation, as listed in Alexandria via LeMat-Bulk.

The structure in POSCAR format:
```
TcHgW2
1.0
-2.082 1.826 0.350
-0.519 -1.614 -2.218
-4.414 -6.082 5.461
Hg Tc W
1 1 2
Cartesian
-2.221 -3.061 2.748 Hg
-4.703 -4.581 3.275 Tc
-4.397 -6.058 5.439 W
-2.317 -1.294 0.323 W
```

Summary:
Formation energy in eV per atom: 0.41
M_tot in μB/cell: 0.000

---

# 2
First-principles (GGA-PBE) data for AcCdPtAu after structural relaxation, as listed in Alexandria via LeMat-Bulk.

The structure in POSCAR format:
```
AcCdPtAu
1.0
-2.121 2.895 3.164
-2.137 -0.953 -4.178
-0.152 -4.248 3.785
Ac Cd Pt Au
1 1 1 1
Cartesian
-1.898 -0.556 2.854 Ac
-0.839 -4.001 3.098 Cd
-2.706 -3.221 1.133 Pt
-3.232 1.146 0.402 Au
```

Summary:
Formation energy in eV per atom: -0.73
E above lowest polymorph in meV per atom: 0.0
M_tot in μB/cell: 0.000

---

# 3
First-principles (GGA-PBE) data for YGa2Ni9 after structural relaxation, as listed in Alexandria via LeMat-Bulk.

The structure in POSCAR format:
```
YGa2Ni9
1.0
4.772 0.000 0.000
0.000 8.032 0.000
0.000 0.000 8.032
Y Ga Ni
2 4 18
Cartesian
0.000 4.016 4.016 Y
0.000 0.000 0.000 Y
0.000 4.998 0.982 Ga
0.000 3.034 7.050 Ga
0.000 0.982 3.034 Ga
0.000 7.050 4.998 Ga
2.386 4.016 0.000 Ni
2.386 0.000 4.016 Ni
2.386 5.690 4.537 Ni
2.386 2.342 3.495 Ni
2.386 1.674 7.511 Ni
2.386 6.358 0.521 Ni
2.386 3.495 5.690 Ni
2.386 4.537 2.342 Ni
2.386 0.521 1.674 Ni
2.386 7.511 6.358 Ni
3.623 6.610 2.594 Ni
3.623 1.422 5.438 Ni
3.623 2.594 1.422 Ni
3.623 5.438 6.610 Ni
1.149 1.422 5.438 Ni
1.149 6.610 2.594 Ni
1.149 5.438 6.610 Ni
1.149 2.594 1.422 Ni
```

Summary:
Formation energy in eV per atom: -0.28
E above lowest polymorph in meV per atom: 0.0
M_tot in μB/cell: 2.754